DFT (PBE) results for crystalline Cu2AgPd5Au at its relaxed geometry.

Calculated values
* calculated volume: 16.35 A^3/atom
* formation energy from the elements: 0.16 eV/atom
* DOS(E_F): 1.175 states/eV per atom

Cell lengths 6.1144, 6.1144, 8.9795 Å; angles 109.91, 109.91, 90.00 degrees
With the nearest neighbours (Å) after each atom.
Positions (direct):
Pd 0.3200 0.8200 0.2443  1 Cu 2.45, 1 Au 2.64
Pd 0.1800 0.0757 0.7557  1 Cu 2.45, 1 Au 2.64
Pd 0.4243 0.3200 0.2443  1 Cu 2.45, 1 Au 2.64
Pd 0.5000 0.5000 0.0000  4 Cu 2.41
Pd 0.0000 0.0000 0.0000  4 Cu 2.41
Pd 0.0757 0.5757 0.7557  1 Cu 2.45, 1 Au 2.64
Pd 0.6800 0.1800 0.7557  1 Cu 2.45, 1 Au 2.64
Pd 0.5757 0.6800 0.7557  1 Cu 2.45, 1 Au 2.64
Pd 0.8200 0.9243 0.2443  1 Cu 2.45, 1 Au 2.64
Pd 0.9243 0.4243 0.2443  1 Cu 2.45, 1 Au 2.64
Cu 0.1257 0.3743 0.0000  1 Cu 2.17, 2 Pd 2.41
Cu 0.3743 0.8743 0.0000  1 Cu 2.17, 2 Pd 2.41
Cu 0.8743 0.6257 0.0000  1 Cu 2.17, 2 Pd 2.41
Cu 0.6257 0.1257 0.0000  1 Cu 2.17, 2 Pd 2.41
Ag 0.2500 0.2500 0.5000  8 Pd 2.99, 4 Au 3.06
Ag 0.7500 0.7500 0.5000  8 Pd 2.99, 4 Au 3.06
Au 0.2500 0.7500 0.5000  4 Pd 2.64
Au 0.7500 0.2500 0.5000  4 Pd 2.64

DFT (PBE) results for crystalline Cu2AgPd2Au2 at its relaxed geometry.

Calculated values
* calculated volume: 15.61 A^3/atom
* formation energy from the elements: -0.07 eV/atom
* DOS(E_F): 0.294 states/eV per atom

Cell lengths 4.0556, 4.9282, 6.0262 Å; angles 94.85, 90.00, 114.30 degrees
With the nearest neighbours (Å) after each atom.
Positions (direct):
Au 0.5858 0.1716 0.7037  5 Cu 2.68-2.91, 1 Au 2.78, 4 Pd 2.82-2.87, 2 Ag 2.85
Au 0.4142 0.8284 0.2963  5 Cu 2.68-2.91, 1 Au 2.78, 4 Pd 2.82-2.87, 2 Ag 2.85
Ag 0.0000 0.0000 0.0000  2 Cu 2.76, 4 Au 2.85, 6 Pd 2.86-2.88
Cu 0.8631 0.7263 0.5705  3 Cu 2.67-2.94, 5 Au 2.68-2.91, 3 Pd 2.71-2.72, 1 Ag 2.76
Cu 0.1369 0.2737 0.4295  3 Cu 2.67-2.94, 5 Au 2.68-2.91, 3 Pd 2.71-2.72, 1 Ag 2.76
Pd 0.7079 0.4159 0.1603  3 Cu 2.71-2.72, 4 Au 2.82-2.87, 3 Ag 2.86-2.88, 2 Pd 2.95
Pd 0.2921 0.5841 0.8397  3 Cu 2.71-2.72, 4 Au 2.82-2.87, 3 Ag 2.86-2.88, 2 Pd 2.95

Look up the calculated volume of the second one.
15.61 A^3/atom

formation energy from the elements of number 1 (Cu2AgPd5Au)?
0.16 eV/atom

Repeat the first record exactly.
DFT (PBE) results for crystalline Cu2AgPd5Au at its relaxed geometry.

Calculated values
* calculated volume: 16.35 A^3/atom
* formation energy from the elements: 0.16 eV/atom
* DOS(E_F): 1.175 states/eV per atom

Cell lengths 6.1144, 6.1144, 8.9795 Å; angles 109.91, 109.91, 90.00 degrees
With the nearest neighbours (Å) after each atom.
Positions (direct):
Pd 0.3200 0.8200 0.2443  1 Cu 2.45, 1 Au 2.64
Pd 0.1800 0.0757 0.7557  1 Cu 2.45, 1 Au 2.64
Pd 0.4243 0.3200 0.2443  1 Cu 2.45, 1 Au 2.64
Pd 0.5000 0.5000 0.0000  4 Cu 2.41
Pd 0.0000 0.0000 0.0000  4 Cu 2.41
Pd 0.0757 0.5757 0.7557  1 Cu 2.45, 1 Au 2.64
Pd 0.6800 0.1800 0.7557  1 Cu 2.45, 1 Au 2.64
Pd 0.5757 0.6800 0.7557  1 Cu 2.45, 1 Au 2.64
Pd 0.8200 0.9243 0.2443  1 Cu 2.45, 1 Au 2.64
Pd 0.9243 0.4243 0.2443  1 Cu 2.45, 1 Au 2.64
Cu 0.1257 0.3743 0.0000  1 Cu 2.17, 2 Pd 2.41
Cu 0.3743 0.8743 0.0000  1 Cu 2.17, 2 Pd 2.41
Cu 0.8743 0.6257 0.0000  1 Cu 2.17, 2 Pd 2.41
Cu 0.6257 0.1257 0.0000  1 Cu 2.17, 2 Pd 2.41
Ag 0.2500 0.2500 0.5000  8 Pd 2.99, 4 Au 3.06
Ag 0.7500 0.7500 0.5000  8 Pd 2.99, 4 Au 3.06
Au 0.2500 0.7500 0.5000  4 Pd 2.64
Au 0.7500 0.2500 0.5000  4 Pd 2.64

Which value of DOS(E_F) does entry 2 give?
0.294 states/eV per atom